A geometry-optimized Ba2Li2NpO6 structure. Source: Alexandria via LeMat-Bulk, functional PBE-GGA.

extended XYZ file:
```
11
Lattice="-3.618 3.698 3.031 -5.646 -1.634 1.185 -1.469 -1.536 6.051" Properties=species:S:1:pos:R:3 pbc="T T T"
Ba -8.168 0.559 7.361
Ba -2.565 -0.030 2.906
Li -4.998 -0.243 6.193
Li -5.736 0.772 4.074
Np 0.000 0.000 0.000
O -7.421 1.212 4.653
O -5.513 -0.738 3.054
O -4.443 2.074 4.028
O -6.290 -1.545 6.239
O -5.220 1.267 7.213
O -3.312 -0.684 5.614
```

Results
Total moment: 1.00 μB/f.u.
E_form (uncorrected): -2628 meV/atom